(1)
## Na3Pr2ZrTe6 (PBE)

Data for an optimized crystal structure of Na3Pr2ZrTe6.

Output
SG: C2/m (12)
Uncorrected energy (eV per cell): -54.8

Unit cell a=7.6581 b=7.6581 c=8.0606 alpha=99.18 beta=99.18 gamma=120.05
Closest atoms and distances in Å follow each position.
Sites, in units of the cell vectors:
Na  0.8263  0.1737  0.5000  6 Te 3.20-3.31
Na  0.5000  0.5000  0.5000  6 Te 3.19-3.39
Na  0.1737  0.8263  0.5000  6 Te 3.20-3.31
Zr  0.0000  0.0000  0.0000  6 Te 2.99
Te  0.6089  0.9215  0.7639  1 Zr 2.99, 3 Na 3.19-3.31, 2 Pr 3.20
Te  0.2317  0.2317  0.7635  1 Zr 2.99, 2 Pr 3.19, 2 Na 3.25
Te  0.7683  0.7683  0.2365  1 Zr 2.99, 2 Pr 3.19, 2 Na 3.25
Te  0.0785  0.3911  0.2361  1 Zr 2.99, 3 Na 3.19-3.31, 2 Pr 3.20
Te  0.3911  0.0785  0.2361  1 Zr 2.99, 3 Na 3.19-3.31, 2 Pr 3.20
Te  0.9215  0.6089  0.7639  1 Zr 2.99, 3 Na 3.19-3.31, 2 Pr 3.20
Pr  0.3343  0.6657  0.0000  6 Te 3.19-3.20
Pr  0.6657  0.3343  0.0000  6 Te 3.19-3.20

(2)
## CsLiCoCl6 (PBE)

Data for an optimized crystal structure of CsLiCoCl6.

Output
SG: P312 (149)
Uncorrected energy (eV per cell): -30.5

Unit cell a=6.3478 b=6.3478 c=7.7313 alpha=90.00 beta=90.00 gamma=59.99
Closest atoms and distances in Å follow each position.
Sites, in units of the cell vectors:
Cl  0.6110  0.0344  0.3309  1 Co 2.25
Cl  0.3546  0.0345  0.6691  1 Co 2.25
Cl  0.0345  0.3546  0.3309  1 Co 2.25
Cl  0.3546  0.6109  0.3309  1 Co 2.25
Cl  0.6109  0.3546  0.6691  1 Co 2.25
Cl  0.0344  0.6110  0.6690  1 Co 2.25
Cs  0.0000  0.0000  0.0000  6 Cl 3.49
Li  0.6666  0.6666  0.5000  6 Cl 2.54
Co  0.3333  0.3333  0.5000  6 Cl 2.25

The records above give, respectively, energy relative to the elements, uncorrected values of -1.1613; -1.0620 eV/atom.